Computed, not measured: crystalline CsLaAg at its relaxed geometry at the GGA-PBE level of DFT.

The value obtained for the total DFT energy (no corrections) is -2.09 eV per atom. Its energy above the most stable polymorph in this dataset is 4.36 kcal/mol of atoms.

The space group is F-43m (No. 216) and the conventional cell measures 7.482, 7.482 and 7.482 Å, with angles of 90.00, 90.00 and 90.00 degrees. Symmetry generates all atoms from Cs at (0.000, 0.000, 0.000), La at (0.250, 0.250, 0.250) and Ag at (0.250, 0.250, 0.750).

Computed, not measured: crystalline Zr3GaCN at its relaxed geometry at the GGA-PBE level of DFT.

The value obtained for the total DFT energy (no corrections) is -8.74 eV per atom.

The space group is P-3m1 (No. 164) and the conventional cell measures 3.3134, 3.3134 and 19.3679 Å, with angles of 90.00, 90.00 and 120.00 degrees. Symmetry generates all atoms from Zr at (0.0000, 0.0000, 0.0000), Zr at (0.0000, 0.0000, 0.5000), Zr at (0.3333, 0.6667, 0.1334), Zr at (0.3333, 0.6667, 0.3650), Ga at (0.0000, 0.0000, 0.2479), C at (0.3333, 0.6667, 0.5733) and N at (0.3333, 0.6667, 0.9312).

Computed, not measured: crystalline HfZr2Ni3As4Pd at its relaxed geometry at the GGA-PBE level of DFT.

The value obtained for the total DFT energy (no corrections) is -6.92 eV per atom. Its energy above the most stable polymorph in this dataset is 0.29 kcal/mol of atoms.

The space group is Pm (No. 6) and the conventional cell measures 6.499, 3.845 and 7.422 Å, with angles of 90.00, 90.68 and 90.00 degrees. Symmetry generates all atoms from Hf at (0.000, 0.000, 0.000), Zr at (0.060, 0.500, 0.372), Zr at (0.509, 0.000, 0.864), Ni at (0.396, 0.000, 0.238), Ni at (0.688, 0.500, 0.124), Ni at (0.907, 0.000, 0.622), As at (0.304, 0.500, 0.072), As at (0.316, 0.000, 0.545), As at (0.763, 0.000, 0.312), As at (0.781, 0.500, 0.788) and Pd at (0.173, 0.500, 0.745).

Computed, not measured: crystalline ThZn at its relaxed geometry at the GGA-PBE level of DFT.

The energy of formation comes out at 0.196 eV per atom. The value obtained for the total DFT energy (no corrections) is -4.14 eV per atom.

The space group is Fm-3m (No. 225) and the conventional cell measures 6.048, 6.048 and 6.048 Å, with angles of 90.00, 90.00 and 90.00 degrees. Symmetry generates all atoms from Th at (0.000, 0.000, 0.000) and Zn at (0.000, 0.000, 0.500).

no.,total moment (μB/f.u.)
1,0.05
2,0.04
3,0.00
4,0.03